{
  "formula": "TaZnNi2",
  "functional": "GGA-PBEsol",
  "state": "relaxed",
  "cell": [[2.9050, 0.0000, 0.0000], [0.0000, 2.9050, 0.0000], [0.0000, 0.0000, 6.0683]],
  "species": ["Ta", "Zn", "Ni", "Ni"],
  "frac_coords": [[0.0000, 0.0000, 0.0000], [0.5000, 0.5000, 0.3138], [0.0000, 0.0000, 0.5274], [0.5000, 0.5000, 0.7429]],
  "magnetic_moment_mub_per_cell": 0.0,
  "e_form_ev_per_atom": -0.09
}